[1]
Below is an optimized crystal structure of Mg3GaAu4, with properties calculated at the PBE level.

Values from the calculation:
Formation energy ... -501.8 meV/atom

CIF file:
```
data_Mg3GaAu4
_chemical_formula_sum 'Mg6 Ga2 Au8'
_symmetry_space_group_name_H-M 'P m m a'
_symmetry_Int_Tables_number 51
_symmetry_space_group_name_Hall '-P 2a 2a'
_cell_length_a 9.277
_cell_length_b 6.619
_cell_length_c 4.642
_cell_angle_alpha 90.00
_cell_angle_beta 90.00
_cell_angle_gamma 90.00
loop_
_atom_site_label
_atom_site_fract_x
_atom_site_fract_y
_atom_site_fract_z
Mg1 0.000 0.000 0.000
Mg2 0.250 0.000 0.495
Mg3 0.250 0.500 0.494
Ga1 0.000 0.500 0.000
Au1 0.000 0.253 0.500
Au2 0.250 0.253 0.994
```


[2]
Below is an optimized crystal structure of MgGa2Au2, with properties calculated at the PBE level.

Values from the calculation:
Distance to the lowest polymorph of the same formula ... 0.1422 eV per atom
Formation energy ... -213.4 meV/atom

CIF file:
```
data_MgGa2Au2
_chemical_formula_sum 'Mg2 Ga4 Au4'
_symmetry_space_group_name_H-M 'P 4/m b m'
_symmetry_Int_Tables_number 127
_symmetry_space_group_name_Hall '-P 4 2ab'
_cell_length_a 7.301
_cell_length_b 7.301
_cell_length_c 3.633
_cell_angle_alpha 90.00
_cell_angle_beta 90.00
_cell_angle_gamma 90.00
loop_
_atom_site_label
_atom_site_fract_x
_atom_site_fract_y
_atom_site_fract_z
Mg1 0.000 0.000 0.000
Ga1 0.156 0.344 0.500
Au1 0.147 0.647 0.000
```


[3]
Below is an optimized crystal structure of MgGaAu3, with properties calculated at the PBE level.

Values from the calculation:
Distance to the lowest polymorph of the same formula ... 0.4246 eV per atom
Formation energy ... 104.1 meV/atom

CIF file:
```
data_MgGaAu3
_chemical_formula_sum 'Mg1 Ga1 Au3'
_symmetry_space_group_name_H-M 'P m -3 m'
_symmetry_Int_Tables_number 221
_symmetry_space_group_name_Hall '-P 4 2 3'
_cell_length_a 4.864
_cell_length_b 4.864
_cell_length_c 4.864
_cell_angle_alpha 90.00
_cell_angle_beta 90.00
_cell_angle_gamma 90.00
loop_
_atom_site_label
_atom_site_fract_x
_atom_site_fract_y
_atom_site_fract_z
Mg1 0.000 0.000 0.000
Ga1 0.500 0.500 0.500
Au1 0.000 0.500 0.500
```


[4]
Below is an optimized crystal structure of MgGaAu6, with properties calculated at the PBE level.

Values from the calculation:
Formation energy ... -216.6 meV/atom

CIF file:
```
data_MgGaAu6
_chemical_formula_sum 'Mg1 Ga1 Au6'
_symmetry_space_group_name_H-M 'P 4/m m m'
_symmetry_Int_Tables_number 123
_symmetry_space_group_name_Hall '-P 4 2'
_cell_length_a 4.198
_cell_length_b 4.198
_cell_length_c 8.091
_cell_angle_alpha 90.00
_cell_angle_beta 90.00
_cell_angle_gamma 90.00
loop_
_atom_site_label
_atom_site_fract_x
_atom_site_fract_y
_atom_site_fract_z
Mg1 0.000 0.000 0.000
Ga1 0.000 0.000 0.500
Au1 0.000 0.500 0.250
Au2 0.500 0.500 0.000
Au3 0.500 0.500 0.500
```


[5]
Below is an optimized crystal structure of Mg6Ga5Au, with properties calculated at the PBE level.

Values from the calculation:
Formation energy ... -216.1 meV/atom

CIF file:
```
data_Mg6Ga5Au
_chemical_formula_sum 'Mg12 Ga10 Au2'
_symmetry_space_group_name_H-M 'C m m m'
_symmetry_Int_Tables_number 65
_symmetry_space_group_name_Hall '-C 2 2'
_cell_length_a 4.765
_cell_length_b 14.575
_cell_length_c 6.593
_cell_angle_alpha 90.00
_cell_angle_beta 90.00
_cell_angle_gamma 90.00
loop_
_atom_site_label
_atom_site_fract_x
_atom_site_fract_y
_atom_site_fract_z
Mg1 0.000 0.000 0.244
Mg2 0.000 0.339 0.249
Ga1 0.000 0.172 0.500
Ga2 0.000 0.175 0.000
Ga3 0.000 0.500 0.500
Au1 0.000 0.500 0.000
```


[6]
Below is an optimized crystal structure of Mg2GaAu6, with properties calculated at the PBE level.

Values from the calculation:
Distance to the lowest polymorph of the same formula ... 0.0000 eV per atom
Formation energy ... -372.5 meV/atom

CIF file:
```
data_Mg2GaAu6
_chemical_formula_sum 'Mg4 Ga2 Au12'
_symmetry_space_group_name_H-M 'P 42/m n m'
_symmetry_Int_Tables_number 136
_symmetry_space_group_name_Hall '-P 4n 2n'
_cell_length_a 8.510
_cell_length_b 8.510
_cell_length_c 4.393
_cell_angle_alpha 90.00
_cell_angle_beta 90.00
_cell_angle_gamma 90.00
loop_
_atom_site_label
_atom_site_fract_x
_atom_site_fract_y
_atom_site_fract_z
Mg1 0.202 0.202 0.000
Ga1 0.000 0.000 0.500
Au1 0.030 0.327 0.500
Au2 0.129 0.871 0.000
```


[7]
Below is an optimized crystal structure of Mg2GaAu5, with properties calculated at the PBE level.

Values from the calculation:
Distance to the lowest polymorph of the same formula ... 0.0244 eV per atom
Formation energy ... -371.3 meV/atom

CIF file:
```
data_Mg2GaAu5
_chemical_formula_sum 'Mg4 Ga2 Au10'
_symmetry_space_group_name_H-M 'C 1 m 1'
_symmetry_Int_Tables_number 8
_symmetry_space_group_name_Hall 'C -2y'
_cell_length_a 7.648
_cell_length_b 8.614
_cell_length_c 5.762
_cell_angle_alpha 90.00
_cell_angle_beta 131.38
_cell_angle_gamma 90.00
loop_
_atom_site_label
_atom_site_fract_x
_atom_site_fract_y
_atom_site_fract_z
Mg1 0.000 0.250 0.000
Ga1 0.249 0.000 0.500
Au1 0.000 0.250 0.500
Au2 0.249 0.000 0.000
Au3 0.250 0.500 0.000
Au4 0.250 0.500 0.499
```


[8]
Below is an optimized crystal structure of Mg7Ga2Au2, with properties calculated at the PBE level.

Values from the calculation:
Formation energy ... -207.6 meV/atom

CIF file:
```
data_Mg7Ga2Au2
_chemical_formula_sum 'Mg14 Ga4 Au4'
_symmetry_space_group_name_H-M 'C m m m'
_symmetry_Int_Tables_number 65
_symmetry_space_group_name_Hall '-C 2 2'
_cell_length_a 7.044
_cell_length_b 9.729
_cell_length_c 7.134
_cell_angle_alpha 90.00
_cell_angle_beta 90.00
_cell_angle_gamma 90.00
loop_
_atom_site_label
_atom_site_fract_x
_atom_site_fract_y
_atom_site_fract_z
Mg1 0.000 0.000 0.000
Mg2 0.000 0.500 0.249
Mg3 0.250 0.250 0.285
Ga1 0.178 0.000 0.500
Au1 0.000 0.286 0.000
```


[9]
Below is an optimized crystal structure of Mg8Ga2Au, with properties calculated at the PBE level.

Values from the calculation:
Distance to the lowest polymorph of the same formula ... 0.0080 eV per atom
Formation energy ... -191.1 meV/atom

CIF file:
```
data_Mg8Ga2Au
_chemical_formula_sum 'Mg16 Ga4 Au2'
_symmetry_space_group_name_H-M 'I m m m'
_symmetry_Int_Tables_number 71
_symmetry_space_group_name_Hall '-I 2 2'
_cell_length_a 4.698
_cell_length_b 6.890
_cell_length_c 13.810
_cell_angle_alpha 90.00
_cell_angle_beta 90.00
_cell_angle_gamma 90.00
loop_
_atom_site_label
_atom_site_fract_x
_atom_site_fract_y
_atom_site_fract_z
Mg1 0.000 0.000 0.167
Mg2 0.000 0.228 0.351
Mg3 0.000 0.274 0.000
Ga1 0.000 0.500 0.183
Au1 0.000 0.500 0.500
```


[10]
Below is an optimized crystal structure of Mg2Ga3Au, with properties calculated at the PBE level.

Values from the calculation:
Formation energy ... -247.2 meV/atom

CIF file:
```
data_Mg2Ga3Au
_chemical_formula_sum 'Mg2 Ga3 Au1'
_symmetry_space_group_name_H-M 'P m m 2'
_symmetry_Int_Tables_number 25
_symmetry_space_group_name_Hall 'P 2 -2'
_cell_length_a 3.237
_cell_length_b 4.500
_cell_length_c 7.735
_cell_angle_alpha 90.00
_cell_angle_beta 90.00
_cell_angle_gamma 90.00
loop_
_atom_site_label
_atom_site_fract_x
_atom_site_fract_y
_atom_site_fract_z
Mg1 0.000 0.000 0.000
Mg2 0.000 0.500 0.469
Ga1 0.500 0.000 0.658
Ga2 0.500 0.500 0.144
Ga3 0.500 0.500 0.814
Au1 0.500 0.000 0.321
```


[11]
Below is an optimized crystal structure of Mg2Ga2Au3, with properties calculated at the PBE level.

Values from the calculation:
Formation energy ... -364.3 meV/atom

CIF file:
```
data_Mg2Ga2Au3
_chemical_formula_sum 'Mg4 Ga4 Au6'
_symmetry_space_group_name_H-M 'C 1 2/m 1'
_symmetry_Int_Tables_number 12
_symmetry_space_group_name_Hall '-C 2y'
_cell_length_a 7.855
_cell_length_b 4.430
_cell_length_c 8.216
_cell_angle_alpha 90.00
_cell_angle_beta 109.37
_cell_angle_gamma 90.00
loop_
_atom_site_label
_atom_site_fract_x
_atom_site_fract_y
_atom_site_fract_z
Mg1 0.122 0.000 0.383
Ga1 0.121 0.500 0.860
Au1 0.000 0.000 0.000
Au2 0.249 0.000 0.735
```


[12]
Below is an optimized crystal structure of Mg2GaAu5, with properties calculated at the PBE level.

Values from the calculation:
Distance to the lowest polymorph of the same formula ... 0.0000 eV per atom
Formation energy ... -395.7 meV/atom

CIF file:
```
data_Mg2GaAu5
_chemical_formula_sum 'Mg4 Ga2 Au10'
_symmetry_space_group_name_H-M 'P b a m'
_symmetry_Int_Tables_number 55
_symmetry_space_group_name_Hall '-P 2 2ab'
_cell_length_a 5.773
_cell_length_b 11.213
_cell_length_c 4.378
_cell_angle_alpha 90.00
_cell_angle_beta 90.00
_cell_angle_gamma 90.00
loop_
_atom_site_label
_atom_site_fract_x
_atom_site_fract_y
_atom_site_fract_z
Mg1 0.176 0.139 0.000
Ga1 0.000 0.500 0.500
Au1 0.000 0.000 0.500
Au2 0.071 0.743 0.500
Au3 0.182 0.393 0.000
```


[13]
Below is an optimized crystal structure of Mg6GaAu, with properties calculated at the PBE level.

Values from the calculation:
Distance to the lowest polymorph of the same formula ... 0.1292 eV per atom
Formation energy ... -57.0 meV/atom

CIF file:
```
data_Mg6GaAu
_chemical_formula_sum 'Mg12 Ga2 Au2'
_symmetry_space_group_name_H-M 'C 1 2/m 1'
_symmetry_Int_Tables_number 12
_symmetry_space_group_name_Hall '-C 2y'
_cell_length_a 6.189
_cell_length_b 10.866
_cell_length_c 6.270
_cell_angle_alpha 90.00
_cell_angle_beta 119.36
_cell_angle_gamma 90.00
loop_
_atom_site_label
_atom_site_fract_x
_atom_site_fract_y
_atom_site_fract_z
Mg1 0.243 0.208 0.250
Mg2 0.246 0.000 0.754
Ga1 0.000 0.500 0.500
Au1 0.000 0.000 0.000
```


[14]
Below is an optimized crystal structure of MgGaAu, with properties calculated at the PBE level.

Values from the calculation:
Formation energy ... -361.4 meV/atom

CIF file:
```
data_MgGaAu
_chemical_formula_sum 'Mg2 Ga2 Au2'
_symmetry_space_group_name_H-M 'P 4/n m m'
_symmetry_Int_Tables_number 129
_cell_length_a 3.843
_cell_length_b 3.843
_cell_length_c 7.753
_cell_angle_alpha 90.00
_cell_angle_beta 90.00
_cell_angle_gamma 90.00
loop_
_symmetry_equiv_pos_as_xyz
'x,y,z'
'-x,-y,-z'
'-y+1/2,x,z'
'y+1/2,-x,-z'
'-x+1/2,-y+1/2,z'
'x+1/2,y+1/2,-z'
'y,-x+1/2,z'
'-y,x+1/2,-z'
'x+1/2,-y,-z'
'-x+1/2,y,z'
'-y,-x,-z'
'y,x,z'
'-x,y+1/2,-z'
'x,-y+1/2,z'
'y+1/2,x+1/2,-z'
'-y+1/2,-x+1/2,z'
loop_
_atom_site_label
_atom_site_fract_x
_atom_site_fract_y
_atom_site_fract_z
Mg1 0.250 0.250 0.122
Ga1 0.250 0.750 0.500
Au1 0.250 0.250 0.763
```


[15]
Below is an optimized crystal structure of Mg3GaAu, with properties calculated at the PBE level.

Values from the calculation:
Distance to the lowest polymorph of the same formula ... 0.0000 eV per atom
Formation energy ... -299.5 meV/atom

CIF file:
```
data_Mg3GaAu
_chemical_formula_sum 'Mg12 Ga4 Au4'
_symmetry_space_group_name_H-M 'C 1 2/m 1'
_symmetry_Int_Tables_number 12
_symmetry_space_group_name_Hall '-C 2y'
_cell_length_a 9.935
_cell_length_b 4.401
_cell_length_c 9.670
_cell_angle_alpha 90.00
_cell_angle_beta 106.87
_cell_angle_gamma 90.00
loop_
_atom_site_label
_atom_site_fract_x
_atom_site_fract_y
_atom_site_fract_z
Mg1 0.091 0.000 0.396
Mg2 0.098 0.500 0.904
Mg3 0.249 0.500 0.253
Ga1 0.115 0.500 0.606
Au1 0.120 0.000 0.118
```


[16]
Below is an optimized crystal structure of Mg4GaAu, with properties calculated at the PBE level.

Values from the calculation:
Distance to the lowest polymorph of the same formula ... 0.0000 eV per atom
Formation energy ... -251.6 meV/atom

CIF file:
```
data_Mg4GaAu
_chemical_formula_sum 'Mg4 Ga1 Au1'
_symmetry_space_group_name_H-M 'P 4/m m m'
_symmetry_Int_Tables_number 123
_symmetry_space_group_name_Hall '-P 4 2'
_cell_length_a 4.566
_cell_length_b 4.566
_cell_length_c 6.523
_cell_angle_alpha 90.00
_cell_angle_beta 90.00
_cell_angle_gamma 90.00
loop_
_atom_site_label
_atom_site_fract_x
_atom_site_fract_y
_atom_site_fract_z
Mg1 0.000 0.500 0.244
Ga1 0.000 0.000 0.500
Au1 0.500 0.500 0.000
```


[17]
Below is an optimized crystal structure of MgGaAu2, with properties calculated at the PBE level.

Values from the calculation:
Formation energy ... -264.9 meV/atom

CIF file:
```
data_MgGaAu2
_chemical_formula_sum 'Mg3 Ga3 Au6'
_symmetry_space_group_name_H-M 'R 3 m'
_symmetry_Int_Tables_number 160
_symmetry_space_group_name_Hall 'R 3 -2"'
_cell_length_a 3.6271
_cell_length_b 3.6271
_cell_length_c 21.3078
_cell_angle_alpha 90.00
_cell_angle_beta 90.00
_cell_angle_gamma 120.00
loop_
_atom_site_label
_atom_site_fract_x
_atom_site_fract_y
_atom_site_fract_z
Mg1 0.0000 0.0000 0.0000
Ga1 0.0000 0.0000 0.8331
Au1 0.0000 0.0000 0.4214
Au2 0.0000 0.0000 0.5787
```


[18]
Below is an optimized crystal structure of Mg2Ga2Au, with properties calculated at the PBE level.

Values from the calculation:
Distance to the lowest polymorph of the same formula ... 0.0003 eV per atom
Formation energy ... -305.7 meV/atom

CIF file:
```
data_Mg2Ga2Au
_chemical_formula_sum 'Mg8 Ga8 Au4'
_symmetry_space_group_name_H-M 'C 1 2/m 1'
_symmetry_Int_Tables_number 12
_symmetry_space_group_name_Hall '-C 2y'
_cell_length_a 9.852
_cell_length_b 4.065
_cell_length_c 10.597
_cell_angle_alpha 90.00
_cell_angle_beta 112.37
_cell_angle_gamma 90.00
loop_
_atom_site_label
_atom_site_fract_x
_atom_site_fract_y
_atom_site_fract_z
Mg1 0.015 0.000 0.194
Mg2 0.183 0.000 0.612
Ga1 0.045 0.500 0.401
Ga2 0.143 0.500 0.047
Au1 0.203 0.500 0.816
```


[19]
Below is an optimized crystal structure of MgGa2Au2, with properties calculated at the PBE level.

Values from the calculation:
Distance to the lowest polymorph of the same formula ... 0.1828 eV per atom
Formation energy ... -172.9 meV/atom

CIF file:
```
data_MgGa2Au2
_chemical_formula_sum 'Mg2 Ga4 Au4'
_symmetry_space_group_name_H-M 'P 4/m b m'
_symmetry_Int_Tables_number 127
_symmetry_space_group_name_Hall '-P 4 2ab'
_cell_length_a 7.487
_cell_length_b 7.487
_cell_length_c 3.366
_cell_angle_alpha 90.00
_cell_angle_beta 90.00
_cell_angle_gamma 90.00
loop_
_atom_site_label
_atom_site_fract_x
_atom_site_fract_y
_atom_site_fract_z
Mg1 0.000 0.000 0.000
Ga1 0.119 0.381 0.000
Au1 0.191 0.691 0.500
```


[20]
Below is an optimized crystal structure of MgGaAu3, with properties calculated at the PBE level.

Values from the calculation:
Distance to the lowest polymorph of the same formula ... 0.0000 eV per atom
Formation energy ... -320.6 meV/atom

CIF file:
```
data_MgGaAu3
_chemical_formula_sum 'Mg2 Ga2 Au6'
_symmetry_space_group_name_H-M 'P m m n'
_symmetry_Int_Tables_number 59
_cell_length_a 4.552
_cell_length_b 5.720
_cell_length_c 7.273
_cell_angle_alpha 90.00
_cell_angle_beta 90.00
_cell_angle_gamma 90.00
loop_
_symmetry_equiv_pos_as_xyz
'x,y,z'
'-x,-y,-z'
'-x+1/2,-y+1/2,z'
'x+1/2,y+1/2,-z'
'x+1/2,-y,-z'
'-x+1/2,y,z'
'-x,y+1/2,-z'
'x,-y+1/2,z'
loop_
_atom_site_label
_atom_site_fract_x
_atom_site_fract_y
_atom_site_fract_z
Mg1 0.250 0.250 0.141
Ga1 0.250 0.750 0.430
Au1 0.250 0.005 0.726
Au2 0.250 0.750 0.077
```